This record from Alexandria describes a relaxed structure of HoTiRuPt. The functional is PBE-GGA.

Structure (POSCAR):
```
HoTiRuPt
1.0
4.639 0.000 0.000
2.319 4.017 0.000
2.319 1.339 3.787
Ru Ho Pt Ti
1 1 1 1
direct
0.250 0.250 0.250
0.000 0.000 0.000
0.750 0.750 0.750
0.500 0.500 0.500
```

Formation energy, eV per atom: -0.66
Final energy, eV for the cell shown: -30.4
ρ, kg/m³: 11974
DOS(E_F), states/eV/f.u.: 3.19
Total magnetic moment, μB/atom: 0.000